# 1
DFT (meta-GGA SCAN) results for Hf3GaAu at its PBEsol-relaxed geometry.

Cell: 4.8245 4.8245 4.8245 Å, 90.00 90.00 90.00°
Fractional coordinates of all 5 atoms:
Hf: 0.0000 0.5000 0.0000
Hf: 0.0000 0.0000 0.5000
Hf: 0.5000 0.0000 0.0000
Au: 0.5000 0.5000 0.5000
Ga: 0.0000 0.0000 0.0000

Values from the calculation:
**Space group**: Pm-3m
**E_tot**: -271.2 eV for the cell shown
**Energy of formation from the pure elements**: 0.460 eV/atom
**Magnetization**: 0.000 Bohr magnetons per cell



# 2
DFT (meta-GGA SCAN) results for Ga2HgAu2 at its PBEsol-relaxed geometry.

Cell: 4.1402 4.1402 6.3799 Å, 108.93 108.93 90.00°
Fractional coordinates of all 5 atoms:
Au: 0.2500 0.7500 0.5000
Au: 0.7500 0.2500 0.5000
Hg: 0.0000 0.0000 0.0000
Ga: 0.3918 0.3918 0.7836
Ga: 0.6082 0.6082 0.2164

Values from the calculation:
**Space group**: I4/mmm
**E_tot**: -239.3 eV for the cell shown
**Energy of formation from the pure elements**: -0.033 eV/atom
**Magnetization**: 0.000 Bohr magnetons per cell